[1]
A plane-wave DFT calculation with GGA-PBE was carried out for a relaxed structure of CaCoP2.

Fermi-level density of states ... 2.0 states/eV/cell
M_tot ... 0.6 μB per cell
E above lowest polymorph ... 41.9 kJ per mole of atoms
SG ... P4/mmm
Calculated total energy ... -21.00 eV/cell
Energy relative to the elements ... -0.27 eV/atom

```
CaCoP2
1.0
3.1971 0.0000 0.0000
0.0000 3.1971 0.0000
0.0000 0.0000 6.1586
Ca Co P
1 1 2
Direct
0.0000 0.0000 0.0000
0.0000 0.0000 0.5000
0.5000 0.5000 0.3223
0.5000 0.5000 0.6777
```



[2]
A plane-wave DFT calculation with GGA-PBE was carried out for a relaxed structure of K2YTa.

Fermi-level density of states ... 5.2 states/eV/cell
M_tot ... 1.6 μB per cell
E above lowest polymorph ... 50.4 kJ per mole of atoms
SG ... P4/mmm
Calculated total energy ... -15.68 eV/cell
Energy relative to the elements ... 1.21 eV/atom

```
K2YTa
1.0
3.1331 0.0000 0.0000
0.0000 3.1331 0.0000
0.0000 0.0000 13.4743
K Y Ta
2 1 1
Direct
0.0000 0.0000 0.2265
0.0000 0.0000 0.7735
0.5000 0.5000 0.5000
0.5000 0.5000 0.0000
```